# Pr4Nd3Y

A relaxed structure of Pr4Nd3Y (GGA-PBE, the Alexandria database).

The structure belongs to space group Pmna (No. 53); the cell edges are 10.4276, 7.3671 and 7.3635 Å and the angles 90.00°, 90.00° and 90.00°. The inequivalent atoms are Pr at (0.0000, 0.0000, 0.0000), Pr at (0.0000, 0.5000, 0.5000), Pr at (0.2500, 0.2486, 0.2500), Nd at (0.0000, 0.5000, 0.0000), Nd at (0.2500, 0.2487, 0.7500) and Y at (0.0000, 0.0000, 0.5000).

For the density of states at the Fermi level, the calculation gives 1.5318 states/eV/atom. The calculation puts the relative energy among the computed polymorphs at 3 meV per atom. The energy comes out at -4.975 eV/atom. The formation energy is 0.011 eV/atom. For the magnetization, the calculation gives 0.000 μB per cell.